<a>
Pm2SmTl4 after structural relaxation. Source: the Alexandria database, functional PBE.

a = 5.9976 Å, b = 5.9976 Å, c = 7.4905 Å
α = 113.60°, β = 113.60°, γ = 90.00°
With the nearest neighbours (Å) after each atom.
Element x y z (fractional)
1 Pm 0.6451 0.6451 0.2902  8 Tl 3.27-3.49, 1 Pm 3.58
2 Tl 0.2500 0.7500 0.5000  2 Tl 3.09, 4 Pm 3.27
3 Tl 0.7500 0.2500 0.5000  2 Tl 3.09, 4 Pm 3.27
4 Tl 0.5000 0.0000 0.0000  2 Sm 3.00, 2 Tl 3.09
5 Tl 0.0000 0.5000 0.0000  2 Sm 3.00, 2 Tl 3.09
6 Sm 0.0000 0.0000 0.0000  4 Tl 3.00
7 Pm 0.3549 0.3549 0.7098  8 Tl 3.27-3.49, 1 Pm 3.58

Summary:
Total moment ... 0.00 μB per formula unit



<b>
Pm2SmTl4 after structural relaxation. Source: the Alexandria database, functional PBE.

a = 6.6255 Å, b = 6.6255 Å, c = 6.6255 Å
α = 108.39°, β = 110.01°, γ = 110.01°
With the nearest neighbours (Å) after each atom.
Element x y z (fractional)
1 Tl 0.0000 0.5000 0.0000  4 Pm 3.31, 2 Sm 3.31
2 Pm 0.5000 0.0000 0.5000  8 Tl 3.31
3 Tl 0.5000 0.0000 0.0000  4 Pm 3.31, 2 Sm 3.31
4 Sm 0.0000 0.0000 0.0000  8 Tl 3.31
5 Tl 0.5000 0.5000 0.5000  2 Sm 3.31, 4 Pm 3.31
6 Tl 0.0000 0.0000 0.5000  4 Pm 3.31, 2 Sm 3.31
7 Pm 0.5000 0.5000 0.0000  8 Tl 3.31

Summary:
Total moment ... 0.89 μB per formula unit



Relative calculated energies, zero for the most stable structure, unit eV/atom: <a> 0.104; <b> 0.000.



<a>
Pm2SmTl2 after structural relaxation. Source: the Alexandria database, functional PBE.

a = 5.2488 Å, b = 5.2488 Å, c = 13.1091 Å
α = 90.00°, β = 90.00°, γ = 120.00°
With the nearest neighbours (Å) after each atom.
Element x y z (fractional)
1 Tl 0.3333 0.6667 0.8723  1 Tl 3.21, 6 Pm 3.43-3.46, 3 Sm 3.43
2 Sm 0.0000 0.0000 0.2500  5 Pm 3.03-3.28
3 Pm 0.0000 0.0000 0.5000  2 Sm 3.28, 6 Tl 3.46
4 Tl 0.3333 0.6667 0.6277  1 Tl 3.21, 6 Pm 3.43-3.46, 3 Sm 3.43
5 Tl 0.6667 0.3333 0.1277  1 Tl 3.21, 6 Pm 3.43-3.46, 3 Sm 3.43
6 Pm 0.0000 0.0000 0.0000  2 Sm 3.28, 6 Tl 3.46
7 Pm 0.3333 0.6667 0.2500  3 Sm 3.03
8 Sm 0.0000 0.0000 0.7500  5 Pm 3.03-3.28
9 Pm 0.6667 0.3333 0.7500  3 Sm 3.03
10 Tl 0.6667 0.3333 0.3723  1 Tl 3.21, 6 Pm 3.43-3.46, 3 Sm 3.43

Summary:
Total moment ... 0.32 μB per formula unit



<b>
Pm2SmTl2 after structural relaxation. Source: the Alexandria database, functional PBE.

a = 3.5440 Å, b = 9.3023 Å, c = 9.3023 Å
α = 90.00°, β = 90.00°, γ = 90.00°
With the nearest neighbours (Å) after each atom.
Element x y z (fractional)
1 Tl 0.5000 0.1771 0.6771  6 Pm 3.19-3.34, 2 Tl 3.54
2 Pm 0.0000 0.3784 0.8784  6 Tl 3.19-3.34, 3 Pm 3.20-3.54
3 Pm 0.0000 0.6216 0.1216  6 Tl 3.19-3.34, 3 Pm 3.20-3.54
4 Tl 0.5000 0.6771 0.8229  6 Pm 3.19-3.34, 2 Tl 3.54
5 Tl 0.5000 0.3229 0.1771  6 Pm 3.19-3.34, 2 Tl 3.54
6 Sm 0.0000 0.5000 0.5000  2 Sm 3.54, 4 Pm 3.70, 8 Tl 3.86
7 Tl 0.5000 0.8229 0.3229  6 Pm 3.19-3.34, 2 Tl 3.54
8 Pm 0.0000 0.8784 0.6216  6 Tl 3.19-3.34, 3 Pm 3.20-3.54
9 Pm 0.0000 0.1216 0.3784  6 Tl 3.19-3.34, 3 Pm 3.20-3.54
10 Sm 0.0000 0.0000 0.0000  2 Sm 3.54, 4 Pm 3.70, 8 Tl 3.86

Summary:
Total moment ... 0.25 μB per formula unit



Relative calculated energies, zero for the most stable structure, unit eV/atom: <a> 0.110; <b> 0.000.



<a>
Pm3SmTl3 after structural relaxation. Source: the Alexandria database, functional PBE.

a = 7.6979 Å, b = 7.6979 Å, c = 7.4455 Å
α = 89.98°, β = 89.98°, γ = 89.64°
With the nearest neighbours (Å) after each atom.
Element x y z (fractional)
1 Pm 0.7372 0.7372 0.5003  6 Tl 3.30-3.43
2 Pm 0.2628 0.2628 0.4997  6 Tl 3.30-3.43
3 Pm 0.2564 0.7436 0.5000  6 Tl 3.31-3.35, 2 Pm 3.70
4 Pm 0.2660 0.7340 0.0000  6 Tl 3.30-3.43, 2 Sm 3.70
5 Tl 0.5001 0.0000 0.2487  2 Sm 3.28-3.29, 6 Pm 3.30-3.31
6 Tl 0.0000 0.5001 0.2487  2 Sm 3.28-3.29, 6 Pm 3.30-3.31
7 Pm 0.7436 0.2564 0.5000  6 Tl 3.31-3.35, 2 Pm 3.70
8 Sm 0.2540 0.2540 0.9999  6 Tl 3.28-3.34
9 Tl 0.0000 0.4999 0.7513  2 Sm 3.28-3.29, 6 Pm 3.30-3.31
10 Pm 0.7340 0.2660 0.0000  6 Tl 3.30-3.43, 2 Sm 3.70
11 Tl 0.4999 0.0000 0.7513  2 Sm 3.28-3.29, 6 Pm 3.30-3.31
12 Tl 0.0000 0.0000 0.7512  2 Sm 3.33-3.34, 6 Pm 3.35-3.43, 1 Tl 3.71
13 Sm 0.7460 0.7460 0.0001  6 Tl 3.28-3.34
14 Tl 0.0000 0.0000 0.2488  2 Sm 3.33-3.34, 6 Pm 3.35-3.43, 1 Tl 3.71

Summary:
Total moment ... 0.02 μB per formula unit



<b>
Pm3SmTl3 after structural relaxation. Source: the Alexandria database, functional PBE.

a = 9.5509 Å, b = 9.5509 Å, c = 9.5509 Å
α = 90.00°, β = 90.00°, γ = 90.00°
With the nearest neighbours (Å) after each atom.
Element x y z (fractional)
1 Pm 0.3240 0.1760 0.8240  6 Tl 3.21-3.42
2 Pm 0.6763 0.3237 0.8237  6 Tl 3.21-3.42
3 Tl 0.6265 0.9999 0.7505  2 Sm 3.20-3.40, 6 Pm 3.21-3.42
4 Pm 0.9270 0.9270 0.9270  6 Tl 3.21-3.40
5 Tl 0.3735 0.4999 0.7495  2 Sm 3.20-3.40, 6 Pm 3.21-3.42
6 Pm 0.0730 0.4270 0.5730  6 Tl 3.21-3.40
7 Tl 0.2505 0.8735 0.0001  2 Sm 3.20-3.40, 6 Pm 3.21-3.42
8 Pm 0.1763 0.1763 0.1763  6 Tl 3.21-3.42
9 Tl 0.7505 0.6265 0.9999  2 Sm 3.20-3.40, 6 Pm 3.21-3.42
10 Tl 0.4999 0.7495 0.3735  2 Sm 3.20-3.40, 6 Pm 3.21-3.42
11 Sm 0.5732 0.9268 0.0732  6 Tl 3.20-3.40
12 Pm 0.1760 0.8240 0.3240  6 Tl 3.21-3.42
13 Tl 0.1265 0.5001 0.2495  2 Sm 3.20-3.40, 6 Pm 3.21-3.42
14 Pm 0.3237 0.8237 0.6763  6 Tl 3.21-3.42
15 Pm 0.8240 0.3240 0.1760  6 Tl 3.21-3.42
16 Tl 0.9999 0.7505 0.6265  2 Sm 3.20-3.40, 6 Pm 3.21-3.42
17 Sm 0.9268 0.0732 0.5732  6 Tl 3.20-3.40
18 Tl 0.5001 0.2495 0.1265  2 Sm 3.20-3.40, 6 Pm 3.21-3.42
19 Tl 0.2495 0.1265 0.5001  2 Sm 3.20-3.40, 6 Pm 3.21-3.42
20 Sm 0.0732 0.5732 0.9268  6 Tl 3.20-3.40
21 Pm 0.4270 0.5730 0.0730  6 Tl 3.21-3.40
22 Sm 0.4268 0.4268 0.4268  6 Tl 3.20-3.40
23 Tl 0.8735 0.0001 0.2505  2 Sm 3.20-3.40, 6 Pm 3.21-3.42
24 Tl 0.7495 0.3735 0.4999  2 Sm 3.20-3.40, 6 Pm 3.21-3.42
25 Tl 0.0001 0.2505 0.8735  2 Sm 3.20-3.40, 6 Pm 3.21-3.42
26 Pm 0.5730 0.0730 0.4270  6 Tl 3.21-3.40
27 Pm 0.8237 0.6763 0.3237  6 Tl 3.21-3.42
28 Pm 0.6760 0.6760 0.6760  6 Tl 3.21-3.42

Summary:
Total moment ... 0.00 μB per formula unit



Relative calculated energies, zero for the most stable structure, unit eV/atom: <a> 0.049; <b> 0.000.



<a>
PmSm5Tl after structural relaxation. Source: the Alexandria database, functional PBE.

a = 6.0347 Å, b = 8.5167 Å, c = 7.7614 Å
α = 123.27°, β = 112.88°, γ = 90.00°
With the nearest neighbours (Å) after each atom.
Element x y z (fractional)
1 Sm 0.4075 0.1727 0.0000  2 Sm 2.94-3.23, 1 Pm 3.18, 1 Tl 3.21
2 Sm 0.1386 0.5000 0.0000  2 Pm 2.88-3.15, 2 Sm 3.23
3 Sm 0.2683 0.2499 0.4997  1 Tl 2.99, 1 Pm 3.00
4 Sm 0.7686 0.7501 0.5003  1 Tl 2.99, 1 Pm 3.00
5 Tl 0.8795 0.0000 0.0000  4 Sm 2.99-3.21
6 Sm 0.4075 0.8273 0.0000  2 Sm 2.94-3.23, 1 Pm 3.18, 1 Tl 3.21
7 Pm 0.6606 0.5000 0.0000  6 Sm 2.88-3.18

Summary:
Total moment ... 0.00 μB per formula unit



<b>
PmSm5Tl after structural relaxation. Source: the Alexandria database, functional PBE.

a = 5.7777 Å, b = 5.7777 Å, c = 7.2251 Å
α = 90.00°, β = 90.00°, γ = 90.00°
With the nearest neighbours (Å) after each atom.
Element x y z (fractional)
1 Tl 0.0000 0.0000 0.0000  8 Sm 3.43, 2 Pm 3.61
2 Pm 0.0000 0.0000 0.5000  8 Sm 3.39, 2 Tl 3.61
3 Sm 0.5000 0.0000 0.7446  2 Pm 3.39, 2 Tl 3.43, 4 Sm 3.43-3.69
4 Sm 0.5000 0.5000 0.0000  8 Sm 3.43
5 Sm 0.5000 0.0000 0.2554  2 Pm 3.39, 2 Tl 3.43, 4 Sm 3.43-3.69
6 Sm 0.0000 0.5000 0.7446  2 Pm 3.39, 4 Sm 3.43-3.69, 2 Tl 3.43
7 Sm 0.0000 0.5000 0.2554  2 Pm 3.39, 4 Sm 3.43-3.69, 2 Tl 3.43

Summary:
Total moment ... 1.39 μB per formula unit



Relative calculated energies, zero for the most stable structure, unit eV/atom: <a> 0.457; <b> 0.000.



<a>
Pm2Sm8Tl after structural relaxation. Source: the Alexandria database, functional PBE.

a = 5.5650 Å, b = 7.7151 Å, c = 9.9484 Å
α = 112.81°, β = 106.24°, γ = 90.00°
With the nearest neighbours (Å) after each atom.
Element x y z (fractional)
1 Tl 0.5000 0.0000 0.0000  8 Sm 3.18-3.43
2 Sm 0.6367 0.8647 0.2734  1 Tl 3.18, 2 Pm 3.43, 1 Sm 3.52
3 Pm 0.8074 0.3075 0.6149  10 Sm 3.43-3.84
4 Sm 0.3633 0.5914 0.7267  1 Tl 3.18, 2 Pm 3.43, 1 Sm 3.52
5 Sm 0.0000 0.2601 0.0000  2 Tl 3.43, 7 Sm 3.67-3.71, 2 Pm 3.84
6 Sm 0.8213 0.8213 0.6427  8 Sm 3.56-3.71, 4 Pm 3.58-3.87
7 Sm 0.6367 0.4086 0.2733  1 Tl 3.18, 2 Pm 3.43, 1 Sm 3.52
8 Sm 0.1787 0.1787 0.3573  8 Sm 3.56-3.71, 4 Pm 3.58-3.87
9 Sm 0.0000 0.7399 0.0000  2 Tl 3.43, 7 Sm 3.67-3.71, 2 Pm 3.84
10 Pm 0.1926 0.6925 0.3851  10 Sm 3.43-3.84
11 Sm 0.3633 0.1353 0.7266  1 Tl 3.18, 2 Pm 3.43, 1 Sm 3.52

Summary:
Total moment ... 0.00 μB per formula unit



<b>
Pm2Sm8Tl after structural relaxation. Source: the Alexandria database, functional PBE.

a = 5.0458 Å, b = 8.0598 Å, c = 9.5226 Å
α = 104.81°, β = 105.36°, γ = 90.00°
With the nearest neighbours (Å) after each atom.
Element x y z (fractional)
1 Sm 0.1359 0.1777 0.2717  7 Sm 3.55-3.64, 2 Tl 3.57, 3 Pm 3.61-3.64
2 Sm 0.9557 0.2750 0.9113  9 Sm 3.53-3.64, 1 Pm 3.55, 2 Tl 3.59
3 Sm 0.4106 0.5575 0.8213  1 Tl 3.51, 8 Sm 3.53-3.68, 3 Pm 3.58-3.65
4 Sm 0.6792 0.9086 0.3585  8 Sm 3.55-3.68, 1 Tl 3.56, 3 Pm 3.58-3.64
5 Pm 0.2234 0.6349 0.4467  10 Sm 3.55-3.65, 2 Pm 3.63
6 Sm 0.5894 0.4425 0.1787  1 Tl 3.51, 8 Sm 3.53-3.68, 3 Pm 3.58-3.65
7 Pm 0.7766 0.3651 0.5533  10 Sm 3.55-3.65, 2 Pm 3.63
8 Sm 0.8641 0.8223 0.7283  7 Sm 3.55-3.64, 2 Tl 3.57, 3 Pm 3.61-3.64
9 Sm 0.0443 0.7250 0.0887  9 Sm 3.53-3.64, 1 Pm 3.55, 2 Tl 3.59
10 Sm 0.3208 0.0914 0.6415  8 Sm 3.55-3.68, 1 Tl 3.56, 3 Pm 3.58-3.64
11 Tl 0.5000 0.0000 0.0000  12 Sm 3.51-3.59

Summary:
Total moment ... 0.00 μB per formula unit



Relative calculated energies, zero for the most stable structure, unit eV/atom: <a> 0.063; <b> 0.000.